Compound: CdTcPt
Source: the Open Quantum Materials Database
Functional: PBE-GGA
Structure: optimized geometry

Unit cell a=4.354 b=4.354 c=4.354 alpha=60.00 beta=60.00 gamma=60.00
Fractional coordinates of all 3 atoms:
Cd 0.000 0.000 0.000
Tc 0.500 0.500 0.500
Pt 0.250 0.250 0.250

Output
Magnetic moment ... 1.1 μB/cell
Relative energy among the computed polymorphs ... 0.0 meV/atom
ΔE_f ... 430 meV per atom
Raw total energy ... -5.340 eV/atom